The following is a DFT calculation (PBE) of a geometry-optimized Ce3MgTc structure.

Geometry as POSCAR:
```
Ce3MgTc
1.0
5.3400 0.0000 0.0000
0.0000 5.3400 0.0000
0.0000 0.0000 5.3400
Ce Mg Tc
3 1 1
direct
0.0000 0.0000 0.5000
0.0000 0.5000 0.0000
0.5000 0.0000 0.0000
0.5000 0.5000 0.5000
0.0000 0.0000 0.0000
```

Output
- space-group type = Pm-3m
- N(E_F) (states/eV/atom) = 3.4266
- DFT total energy (eV/atom) = -5.87
- distance to the lowest polymorph of the same formula (eV/f.u.) = 0.46
- formation energy from the elements (kJ per mole of atoms) = 8

The following is a DFT calculation (PBE) of a geometry-optimized MgNpNiIr structure.

Geometry as POSCAR:
```
MgNpNiIr
1.0
0.0000 3.2640 3.2640
3.2640 0.0000 3.2640
3.2640 3.2640 0.0000
Mg Np Ni Ir
1 1 1 1
direct
0.0000 0.0000 0.0000
0.5000 0.5000 0.5000
0.2500 0.2500 0.2500
0.7500 0.7500 0.7500
```

Output
- space-group type = F-43m
- N(E_F) (states/eV/atom) = 1.8096
- DFT total energy (eV/atom) = -7.47
- formation energy from the elements (kJ per mole of atoms) = -17

The following is a DFT calculation (PBE) of a geometry-optimized Zr4BC2 structure.

Geometry as POSCAR:
```
Zr4BC2
1.0
1.6786 -5.5405 0.0000
1.6786 5.5405 0.0000
0.0000 0.0000 11.3532
Zr B C
8 2 4
direct
0.0000 0.0000 0.0000
0.0000 0.0000 0.5000
0.2705 0.7295 0.6162
0.2705 0.7295 0.8838
0.4484 0.5516 0.2500
0.5516 0.4484 0.7500
0.7295 0.2705 0.1162
0.7295 0.2705 0.3838
0.1065 0.8935 0.2500
0.8935 0.1065 0.7500
0.3626 0.6374 0.0626
0.3626 0.6374 0.4374
0.6374 0.3626 0.5626
0.6374 0.3626 0.9374
```

Output
- space-group type = Cmcm
- N(E_F) (states/eV/atom) = 0.4849
- DFT total energy (eV/atom) = -9.11
- formation energy from the elements (kJ per mole of atoms) = -61

The following is a DFT calculation (PBE) of a geometry-optimized CrFe4H4 structure.

Geometry as POSCAR:
```
CrFe4H4
1.0
3.7216 -3.9331 0.0000
3.7216 3.9331 0.0000
0.0000 0.0000 4.9937
Cr Fe H
2 8 8
direct
0.1670 0.8330 0.7500
0.8330 0.1670 0.2500
0.0638 0.6032 0.2500
0.3327 0.3327 0.0000
0.3327 0.3327 0.5000
0.3968 0.9362 0.2500
0.6032 0.0638 0.7500
0.6673 0.6673 0.0000
0.6673 0.6673 0.5000
0.9362 0.3968 0.7500
0.1536 0.1753 0.7500
0.1753 0.1536 0.2500
0.3221 0.6779 0.0265
0.3221 0.6779 0.4735
0.6779 0.3221 0.5265
0.6779 0.3221 0.9735
0.8247 0.8464 0.7500
0.8464 0.8247 0.2500
```

Output
- space-group type = Cmcm
- N(E_F) (states/eV/atom) = 0.6281
- DFT total energy (eV/atom) = -6.13

The following is a DFT calculation (PBE) of a geometry-optimized InSnH2 structure.

Geometry as POSCAR:
```
InSnH2
1.0
0.0000 3.1175 3.1175
3.1175 0.0000 3.1175
3.1175 3.1175 0.0000
In Sn H
1 1 2
direct
0.0000 0.0000 0.0000
0.5000 0.5000 0.5000
0.2500 0.2500 0.2500
0.7500 0.7500 0.7500
```

Output
- space-group type = Fm-3m
- N(E_F) (states/eV/atom) = 0.4368
- DFT total energy (eV/atom) = -2.74
- distance to the lowest polymorph of the same formula (eV/f.u.) = 0.61

The following is a DFT calculation (PBE) of a geometry-optimized KRb2Tc structure.

Geometry as POSCAR:
```
KRb2Tc
1.0
-5.1224 5.1224 7.8154
5.1224 -5.1224 7.8154
5.1224 5.1224 -7.8154
K Rb Tc
2 4 2
direct
0.0000 0.0000 0.0000
0.7500 0.2500 0.5000
0.3724 0.6250 0.2474
0.3750 0.6224 0.7474
0.3776 0.1250 0.7526
0.8750 0.6276 0.2526
0.2500 0.7500 0.5000
0.5000 0.5000 0.0000
```

Output
- space-group type = I-42d
- N(E_F) (states/eV/atom) = 2.3076
- DFT total energy (eV/atom) = -1.85
- distance to the lowest polymorph of the same formula (eV/f.u.) = 1.09
- formation energy from the elements (kJ per mole of atoms) = 144

The following is a DFT calculation (PBE) of a geometry-optimized AgPt2 structure.

Geometry as POSCAR:
```
AgPt2
1.0
5.3242 0.0000 0.0000
-2.6621 4.6109 0.0000
0.0000 0.0000 8.5320
Ag Pt
4 8
direct
0.3333 0.6667 0.0614
0.3333 0.6667 0.4386
0.6667 0.3333 0.5614
0.6667 0.3333 0.9386
0.0000 0.0000 0.0000
0.0000 0.0000 0.5000
0.1705 0.3409 0.7500
0.1705 0.8295 0.7500
0.3409 0.1705 0.2500
0.6591 0.8295 0.7500
0.8295 0.1705 0.2500
0.8295 0.6591 0.2500
```

Output
- space-group type = P6_3/mmc
- N(E_F) (states/eV/atom) = 1.3112
- DFT total energy (eV/atom) = -4.92
- distance to the lowest polymorph of the same formula (eV/f.u.) = 0.18
- formation energy from the elements (kJ per mole of atoms) = 5

The following is a DFT calculation (PBE) of a geometry-optimized Dy2Sc4N structure.

Geometry as POSCAR:
```
Dy2Sc4N
1.0
-2.2027 2.2027 8.7725
2.2027 -2.2027 8.7725
2.2027 2.2027 -8.7725
Dy Sc N
2 4 1
direct
0.1815 0.1815 0.0000
0.8185 0.8185 0.0000
0.0000 0.5000 0.5000
0.3759 0.3759 0.0000
0.5000 0.0000 0.5000
0.6241 0.6241 0.0000
0.5000 0.5000 0.0000
```

Output
- space-group type = I4/mmm
- N(E_F) (states/eV/atom) = 1.7887
- energy relative to the elements, uncorrected (eV per atom) = -0.3509
- DFT total energy (eV/atom) = -6.47

The following is a DFT calculation (PBE) of a geometry-optimized SiOsPt2 structure.

Geometry as POSCAR:
```
SiOsPt2
1.0
1.4306 -2.4184 0.0000
1.4306 2.4184 0.0000
0.0000 0.0000 8.6711
Si Os Pt
1 1 2
direct
0.0000 0.0000 0.0000
0.5000 0.5000 0.7841
0.0000 0.0000 0.5068
0.5000 0.5000 0.2215
```

Output
- space-group type = Cmm2
- N(E_F) (states/eV/atom) = 0.7515
- energy relative to the elements, uncorrected (eV per atom) = 0.0279
- DFT total energy (eV/atom) = -7.16

The following is a DFT calculation (PBE) of a geometry-optimized PmPrSmEr structure.

Geometry as POSCAR:
```
PmPrSmEr
1.0
3.6387 0.0000 0.0000
-1.8193 3.1512 0.0000
0.0000 0.0000 11.7432
Pm Pr Sm Er
1 1 1 1
direct
0.0000 0.0000 0.0000
0.6667 0.3333 0.5056
0.3333 0.6667 0.2504
0.3333 0.6667 0.7549
```

Output
- space-group type = P3m1
- N(E_F) (states/eV/atom) = 1.0735
- DFT total energy (eV/atom) = -4.68
- distance to the lowest polymorph of the same formula (eV/f.u.) = 0.00
- formation energy from the elements (kJ per mole of atoms) = 2

The following is a DFT calculation (PBE) of a geometry-optimized Zn2SbW structure.

Geometry as POSCAR:
```
Zn2SbW
1.0
1.5790 0.9117 8.4507
-1.5790 0.9117 8.4507
0.0000 -1.8233 8.4507
Zn Sb W
2 1 1
direct
0.0000 0.0000 0.0000
0.2585 0.2585 0.2585
0.7612 0.7612 0.7612
0.5106 0.5106 0.5106
```

Output
- space-group type = R3m
- N(E_F) (states/eV/atom) = 0.7571
- energy relative to the elements, uncorrected (eV per atom) = 0.4377
- DFT total energy (eV/atom) = -4.47

The following is a DFT calculation (PBE) of a geometry-optimized AgSnS2 structure.

Geometry as POSCAR:
```
AgSnS2
1.0
2.2001 1.2702 6.3449
-2.2001 1.2702 6.3449
0.0000 -2.5404 6.3449
Ag Sn S
1 1 2
direct
0.0000 0.0000 0.0000
0.5176 0.5176 0.5176
0.1427 0.1427 0.1427
0.6456 0.6456 0.6456
```

Output
- space-group type = R3m
- N(E_F) (states/eV/atom) = 0.4689
- energy relative to the elements, uncorrected (eV per atom) = -0.1704
- DFT total energy (eV/atom) = -3.95